1.
# Ca2SiBr, optimized geometry, DFT GGA-PBE
# Formation energy (no corrections): -0.648 eV per atom
# Energy above the most stable polymorph in this dataset: 275.4 meV per atom
data_Ca2SiBr
_chemical_formula_sum 'Ca8 Si4 Br4'
_symmetry_space_group_name_H-M 'F m -3 m'
_symmetry_Int_Tables_number 225
_symmetry_space_group_name_Hall '-F 4 2 3'
_cell_length_a 7.4663
_cell_length_b 7.4663
_cell_length_c 7.4663
_cell_angle_alpha 90.00
_cell_angle_beta 90.00
_cell_angle_gamma 90.00
loop_
_atom_site_label
_atom_site_fract_x
_atom_site_fract_y
_atom_site_fract_z
Ca1 0.2500 0.2500 0.2500
Si1 0.0000 0.0000 0.0000
Br1 0.0000 0.0000 0.5000

***

2.
# CaSiBr2, optimized geometry, DFT GGA-PBE
# Formation energy (no corrections): -0.623 eV per atom
# Energy above the most stable polymorph in this dataset: 113.9 meV per atom
data_CaSiBr2
_chemical_formula_sum 'Ca1 Si1 Br2'
_symmetry_space_group_name_H-M 'P 1 m 1'
_symmetry_Int_Tables_number 6
_cell_length_a 5.6202
_cell_length_b 3.9144
_cell_length_c 6.0538
_cell_angle_alpha 90.00
_cell_angle_beta 106.25
_cell_angle_gamma 90.00
loop_
_symmetry_equiv_pos_as_xyz
'x,y,z'
'x,-y,z'
loop_
_atom_site_label
_atom_site_fract_x
_atom_site_fract_y
_atom_site_fract_z
Ca1 0.0000 0.0000 0.0000
Si1 0.1804 0.5000 0.4234
Br1 0.5053 0.0000 0.0211
Br2 0.8506 0.5000 0.6158

***

3.
# Ca2SiBr, optimized geometry, DFT GGA-PBE
# Formation energy (no corrections): -0.649 eV per atom
# Energy above the most stable polymorph in this dataset: 274.0 meV per atom
data_Ca2SiBr
_chemical_formula_sum 'Ca4 Si2 Br2'
_symmetry_space_group_name_H-M 'I m m m'
_symmetry_Int_Tables_number 71
_symmetry_space_group_name_Hall '-I 2 2'
_cell_length_a 4.5555
_cell_length_b 5.9755
_cell_length_c 7.9538
_cell_angle_alpha 90.00
_cell_angle_beta 90.00
_cell_angle_gamma 90.00
loop_
_atom_site_label
_atom_site_fract_x
_atom_site_fract_y
_atom_site_fract_z
Ca1 0.0000 0.0000 0.2474
Si1 0.0000 0.5000 0.0000
Br1 0.0000 0.5000 0.5000

***

4.
# CaSiBr2, optimized geometry, DFT GGA-PBE
# Formation energy (no corrections): -0.625 eV per atom
# Energy above the most stable polymorph in this dataset: 112.0 meV per atom
data_CaSiBr2
_chemical_formula_sum 'Ca3 Si3 Br6'
_symmetry_space_group_name_H-M 'R -3 m'
_symmetry_Int_Tables_number 166
_symmetry_space_group_name_Hall '-R 3 2"'
_cell_length_a 3.8816
_cell_length_b 3.8816
_cell_length_c 34.2516
_cell_angle_alpha 90.00
_cell_angle_beta 90.00
_cell_angle_gamma 120.00
loop_
_atom_site_label
_atom_site_fract_x
_atom_site_fract_y
_atom_site_fract_z
Ca1 0.0000 0.0000 0.0000
Si1 0.0000 0.0000 0.5000
Br1 0.0000 0.0000 0.2821

***

5.
# Ca4SiBr3, optimized geometry, DFT GGA-PBE
# Formation energy (no corrections): -1.225 eV per atom
data_Ca4SiBr3
_chemical_formula_sum 'Ca8 Si2 Br6'
_symmetry_space_group_name_H-M 'P 1 2/c 1'
_symmetry_Int_Tables_number 13
_cell_length_a 7.4594
_cell_length_b 8.8145
_cell_length_c 7.5429
_cell_angle_alpha 90.00
_cell_angle_beta 108.95
_cell_angle_gamma 90.00
loop_
_symmetry_equiv_pos_as_xyz
'x,y,z'
'-x,-y,-z'
'-x,y,-z+1/2'
'x,-y,z+1/2'
loop_
_atom_site_label
_atom_site_fract_x
_atom_site_fract_y
_atom_site_fract_z
Ca1 0.2180 0.1021 0.4988
Ca2 0.2295 0.3538 0.9756
Si1 0.0000 0.1297 0.7500
Br1 0.0000 0.3802 0.2500
Br2 0.5000 0.1410 0.2500
Br3 0.5000 0.4004 0.7500

***

6.
# CaSiBr2, optimized geometry, DFT GGA-PBE
# Formation energy (no corrections): -0.561 eV per atom
# Energy above the most stable polymorph in this dataset: 175.7 meV per atom
data_CaSiBr2
_chemical_formula_sum 'Ca2 Si2 Br4'
_symmetry_space_group_name_H-M 'C m m m'
_symmetry_Int_Tables_number 65
_symmetry_space_group_name_Hall '-C 2 2'
_cell_length_a 6.8813
_cell_length_b 8.0855
_cell_length_c 4.1984
_cell_angle_alpha 90.00
_cell_angle_beta 90.00
_cell_angle_gamma 90.00
loop_
_atom_site_label
_atom_site_fract_x
_atom_site_fract_y
_atom_site_fract_z
Ca1 0.0000 0.0000 0.0000
Si1 0.0000 0.5000 0.0000
Br1 0.0000 0.2533 0.5000

***

7.
# Ca2SiBr, optimized geometry, DFT GGA-PBE
# Formation energy (no corrections): -0.917 eV per atom
# Energy above the most stable polymorph in this dataset: 6.2 meV per atom
data_Ca2SiBr
_chemical_formula_sum 'Ca2 Si1 Br1'
_symmetry_space_group_name_H-M 'P 1 2/m 1'
_symmetry_Int_Tables_number 10
_cell_length_a 3.8909
_cell_length_b 3.5900
_cell_length_c 8.1219
_cell_angle_alpha 90.00
_cell_angle_beta 90.08
_cell_angle_gamma 90.00
loop_
_symmetry_equiv_pos_as_xyz
'x,y,z'
'-x,-y,-z'
'-x,y,-z'
'x,-y,z'
loop_
_atom_site_label
_atom_site_fract_x
_atom_site_fract_y
_atom_site_fract_z
Ca1 0.0007 0.0000 0.2042
Si1 0.5000 0.5000 0.0000
Br1 0.0000 0.5000 0.5000

***

8.
# Ca2SiBr, optimized geometry, DFT GGA-PBE
# Formation energy (no corrections): -0.640 eV per atom
# Energy above the most stable polymorph in this dataset: 283.8 meV per atom
data_Ca2SiBr
_chemical_formula_sum 'Ca8 Si4 Br4'
_symmetry_space_group_name_H-M 'I -4 2 d'
_symmetry_Int_Tables_number 122
_symmetry_space_group_name_Hall 'I -4 2bw'
_cell_length_a 7.7163
_cell_length_b 7.7163
_cell_length_c 8.5159
_cell_angle_alpha 90.00
_cell_angle_beta 90.00
_cell_angle_gamma 90.00
loop_
_atom_site_label
_atom_site_fract_x
_atom_site_fract_y
_atom_site_fract_z
Ca1 0.2412 0.7500 0.1250
Si1 0.0000 0.0000 0.0000
Br1 0.0000 0.0000 0.5000

***

9.
# CaSiBr, optimized geometry, DFT GGA-PBE
# Formation energy (no corrections): -1.153 eV per atom
data_CaSiBr
_chemical_formula_sum 'Ca4 Si4 Br4'
_symmetry_space_group_name_H-M 'C 1 2/m 1'
_symmetry_Int_Tables_number 12
_cell_length_a 6.9945
_cell_length_b 4.0385
_cell_length_c 12.0663
_cell_angle_alpha 90.00
_cell_angle_beta 101.07
_cell_angle_gamma 90.00
loop_
_symmetry_equiv_pos_as_xyz
'x,y,z'
'-x,-y,-z'
'-x,y,-z'
'x,-y,z'
'x+1/2,y+1/2,z'
'-x+1/2,-y+1/2,-z'
'-x+1/2,y+1/2,-z'
'x+1/2,-y+1/2,z'
loop_
_atom_site_label
_atom_site_fract_x
_atom_site_fract_y
_atom_site_fract_z
Ca1 0.0659 0.0000 0.1988
Si1 0.1568 0.5000 0.9703
Br1 0.2208 0.0000 0.6605

***

10.
# Ca2SiBr, optimized geometry, DFT GGA-PBE
# Formation energy (no corrections): -0.045 eV per atom
# Energy above the most stable polymorph in this dataset: 877.9 meV per atom
data_Ca2SiBr
_chemical_formula_sum 'Ca8 Si4 Br4'
_symmetry_space_group_name_H-M 'F -4 3 m'
_symmetry_Int_Tables_number 216
_symmetry_space_group_name_Hall 'F -4 2 3'
_cell_length_a 7.5338
_cell_length_b 7.5338
_cell_length_c 7.5338
_cell_angle_alpha 90.00
_cell_angle_beta 90.00
_cell_angle_gamma 90.00
loop_
_atom_site_label
_atom_site_fract_x
_atom_site_fract_y
_atom_site_fract_z
Ca1 0.0000 0.0000 0.0000
Ca2 0.2500 0.2500 0.2500
Si1 0.2500 0.2500 0.7500
Br1 0.0000 0.0000 0.5000

***

11.
# Ca2SiBr, optimized geometry, DFT GGA-PBE
# Formation energy (no corrections): -0.852 eV per atom
# Energy above the most stable polymorph in this dataset: 71.6 meV per atom
data_Ca2SiBr
_chemical_formula_sum 'Ca2 Si1 Br1'
_symmetry_space_group_name_H-M 'P 4/m m m'
_symmetry_Int_Tables_number 123
_symmetry_space_group_name_Hall '-P 4 2'
_cell_length_a 3.5984
_cell_length_b 3.5984
_cell_length_c 8.0075
_cell_angle_alpha 90.00
_cell_angle_beta 90.00
_cell_angle_gamma 90.00
loop_
_atom_site_label
_atom_site_fract_x
_atom_site_fract_y
_atom_site_fract_z
Ca1 0.0000 0.0000 0.2167
Si1 0.5000 0.5000 0.0000
Br1 0.5000 0.5000 0.5000

***

12.
# CaSiBr2, optimized geometry, DFT GGA-PBE
# Formation energy (no corrections): -0.636 eV per atom
# Energy above the most stable polymorph in this dataset: 100.7 meV per atom
data_CaSiBr2
_chemical_formula_sum 'Ca2 Si2 Br4'
_symmetry_space_group_name_H-M 'I m m 2'
_symmetry_Int_Tables_number 44
_cell_length_a 3.7812
_cell_length_b 4.1718
_cell_length_c 15.3626
_cell_angle_alpha 90.00
_cell_angle_beta 90.00
_cell_angle_gamma 90.00
loop_
_symmetry_equiv_pos_as_xyz
'x,y,z'
'-x,-y,z'
'-x,y,z'
'x,-y,z'
'x+1/2,y+1/2,z+1/2'
'-x+1/2,-y+1/2,z+1/2'
'-x+1/2,y+1/2,z+1/2'
'x+1/2,-y+1/2,z+1/2'
loop_
_atom_site_label
_atom_site_fract_x
_atom_site_fract_y
_atom_site_fract_z
Ca1 0.0000 0.0000 0.0000
Si1 0.0000 0.5000 0.6684
Br1 0.0000 0.0000 0.4243
Br2 0.0000 0.5000 0.1490

***

13.
# Ca4SiBr, optimized geometry, DFT GGA-PBE
# Formation energy (no corrections): 0.204 eV per atom
data_Ca4SiBr
_chemical_formula_sum 'Ca16 Si4 Br4'
_symmetry_space_group_name_H-M 'F -4 3 m'
_symmetry_Int_Tables_number 216
_symmetry_space_group_name_Hall 'F -4 2 3'
_cell_length_a 9.3026
_cell_length_b 9.3026
_cell_length_c 9.3026
_cell_angle_alpha 90.00
_cell_angle_beta 90.00
_cell_angle_gamma 90.00
loop_
_atom_site_label
_atom_site_fract_x
_atom_site_fract_y
_atom_site_fract_z
Ca1 0.1236 0.1236 0.1236
Si1 0.2500 0.2500 0.7500
Br1 0.0000 0.0000 0.5000

***

14.
# CaSiBr2, optimized geometry, DFT GGA-PBE
# Formation energy (no corrections): -0.655 eV per atom
# Energy above the most stable polymorph in this dataset: 82.4 meV per atom
data_CaSiBr2
_chemical_formula_sum 'Ca2 Si2 Br4'
_symmetry_space_group_name_H-M 'C 1 2/m 1'
_symmetry_Int_Tables_number 12
_cell_length_a 10.5160
_cell_length_b 3.8185
_cell_length_c 5.6915
_cell_angle_alpha 90.00
_cell_angle_beta 99.46
_cell_angle_gamma 90.00
loop_
_symmetry_equiv_pos_as_xyz
'x,y,z'
'-x,-y,-z'
'-x,y,-z'
'x,-y,z'
'x+1/2,y+1/2,z'
'-x+1/2,-y+1/2,-z'
'-x+1/2,y+1/2,-z'
'x+1/2,-y+1/2,z'
loop_
_atom_site_label
_atom_site_fract_x
_atom_site_fract_y
_atom_site_fract_z
Ca1 0.0000 0.0000 0.0000
Si1 0.0000 0.5000 0.5000
Br1 0.1876 0.5000 0.2293

***

15.
# CaSi2Br8, optimized geometry, DFT GGA-PBE
# Formation energy (no corrections): -0.828 eV per atom
data_CaSi2Br8
_chemical_formula_sum 'Ca2 Si4 Br16'
_symmetry_space_group_name_H-M 'C 1 2/m 1'
_symmetry_Int_Tables_number 12
_cell_length_a 12.6386
_cell_length_b 10.8011
_cell_length_c 6.8121
_cell_angle_alpha 90.00
_cell_angle_beta 99.98
_cell_angle_gamma 90.00
loop_
_symmetry_equiv_pos_as_xyz
'x,y,z'
'-x,-y,-z'
'-x,y,-z'
'x,-y,z'
'x+1/2,y+1/2,z'
'-x+1/2,-y+1/2,-z'
'-x+1/2,y+1/2,-z'
'x+1/2,-y+1/2,z'
loop_
_atom_site_label
_atom_site_fract_x
_atom_site_fract_y
_atom_site_fract_z
Ca1 0.0000 0.0000 0.0000
Si1 0.2178 0.0000 0.6783
Br1 0.1049 0.5000 0.1380
Br2 0.1144 0.1701 0.7741
Br3 0.1938 0.0000 0.3093

***

16.
# CaSiBr2, optimized geometry, DFT GGA-PBE
# Formation energy (no corrections): -0.539 eV per atom
# Energy above the most stable polymorph in this dataset: 198.4 meV per atom
data_CaSiBr2
_chemical_formula_sum 'Ca1 Si1 Br2'
_symmetry_space_group_name_H-M 'P 4 m m'
_symmetry_Int_Tables_number 99
_cell_length_a 3.6301
_cell_length_b 3.6301
_cell_length_c 8.4596
_cell_angle_alpha 90.00
_cell_angle_beta 90.00
_cell_angle_gamma 90.00
loop_
_symmetry_equiv_pos_as_xyz
'x,y,z'
'-y,x,z'
'-x,-y,z'
'y,-x,z'
'-x,y,z'
'y,x,z'
'x,-y,z'
'-y,-x,z'
loop_
_atom_site_label
_atom_site_fract_x
_atom_site_fract_y
_atom_site_fract_z
Ca1 0.0000 0.0000 0.0000
Si1 0.5000 0.5000 0.2191
Br1 0.0000 0.0000 0.4042
Br2 0.5000 0.5000 0.8209

***

17.
# Ca4SiBr5, optimized geometry, DFT GGA-PBE
# Formation energy (no corrections): -1.587 eV per atom
data_Ca4SiBr5
_chemical_formula_sum 'Ca8 Si2 Br10'
_symmetry_space_group_name_H-M 'C 1 2/m 1'
_symmetry_Int_Tables_number 12
_cell_length_a 18.6595
_cell_length_b 4.0757
_cell_length_c 8.8911
_cell_angle_alpha 90.00
_cell_angle_beta 104.59
_cell_angle_gamma 90.00
loop_
_symmetry_equiv_pos_as_xyz
'x,y,z'
'-x,-y,-z'
'-x,y,-z'
'x,-y,z'
'x+1/2,y+1/2,z'
'-x+1/2,-y+1/2,-z'
'-x+1/2,y+1/2,-z'
'x+1/2,-y+1/2,z'
loop_
_atom_site_label
_atom_site_fract_x
_atom_site_fract_y
_atom_site_fract_z
Ca1 0.0030 0.0000 0.2481
Ca2 0.1630 0.5000 0.0997
Si1 0.0000 0.5000 0.0000
Br1 0.0000 0.5000 0.5000
Br2 0.1671 0.0000 0.3314
Br3 0.1702 0.0000 0.8579

***

18.
# Ca2SiBr, optimized geometry, DFT GGA-PBE
# Formation energy (no corrections): -0.923 eV per atom
# Energy above the most stable polymorph in this dataset: 0.0 meV per atom
data_Ca2SiBr
_chemical_formula_sum 'Ca6 Si3 Br3'
_symmetry_space_group_name_H-M 'R -3 m'
_symmetry_Int_Tables_number 166
_symmetry_space_group_name_Hall '-R 3 2"'
_cell_length_a 4.1608
_cell_length_b 4.1608
_cell_length_c 22.8984
_cell_angle_alpha 90.00
_cell_angle_beta 90.00
_cell_angle_gamma 120.00
loop_
_atom_site_label
_atom_site_fract_x
_atom_site_fract_y
_atom_site_fract_z
Ca1 0.0000 0.0000 0.2407
Si1 0.0000 0.0000 0.5000
Br1 0.0000 0.0000 0.0000

***

19.
# CaSiBr2, optimized geometry, DFT GGA-PBE
# Formation energy (no corrections): -0.636 eV per atom
# Energy above the most stable polymorph in this dataset: 101.2 meV per atom
data_CaSiBr2
_chemical_formula_sum 'Ca3 Si3 Br6'
_symmetry_space_group_name_H-M 'R -3 m'
_symmetry_Int_Tables_number 166
_symmetry_space_group_name_Hall '-R 3 2"'
_cell_length_a 3.8918
_cell_length_b 3.8918
_cell_length_c 28.7340
_cell_angle_alpha 90.00
_cell_angle_beta 90.00
_cell_angle_gamma 120.00
loop_
_atom_site_label
_atom_site_fract_x
_atom_site_fract_y
_atom_site_fract_z
Ca1 0.0000 0.0000 0.0000
Si1 0.0000 0.0000 0.5000
Br1 0.0000 0.0000 0.3957

***

20.
# CaSiBr2, optimized geometry, DFT GGA-PBE
# Formation energy (no corrections): -0.737 eV per atom
# Energy above the most stable polymorph in this dataset: 0.0 meV per atom
data_CaSiBr2
_chemical_formula_sum 'Ca2 Si2 Br4'
_symmetry_space_group_name_H-M 'I m m m'
_symmetry_Int_Tables_number 71
_symmetry_space_group_name_Hall '-I 2 2'
_cell_length_a 4.0813
_cell_length_b 4.6969
_cell_length_c 13.9836
_cell_angle_alpha 90.00
_cell_angle_beta 90.00
_cell_angle_gamma 90.00
loop_
_atom_site_label
_atom_site_fract_x
_atom_site_fract_y
_atom_site_fract_z
Ca1 0.0000 0.0000 0.0000
Si1 0.0000 0.0000 0.5000
Br1 0.0000 0.5000 0.1384